1.
First-principles (PBE) data for a relaxed Ho2ErTh3 crystal, as listed in Alexandria.

Values from the calculation:
Calculated formation energy: 0.468 eV per atom
Mass density: 9.90 g/cm3

abc: 7.926 7.926 7.926
angles: 155.45 100.48 84.76
Element x y z (fractional)
Ho 0.167 0.000 0.167
Ho 0.833 0.000 0.833
Er 0.500 0.000 0.500
Th 0.250 0.250 0.000
Th 0.583 0.250 0.333
Th 0.916 0.250 0.667

2.
First-principles (PBE) data for a relaxed Ho8ErTh4 crystal, as listed in Alexandria.

Values from the calculation:
Calculated formation energy: 0.225 eV per atom
Mass density: 9.64 g/cm3

abc: 9.827 9.827 9.827
angles: 43.99 43.99 43.99
Element x y z (fractional)
Ho 0.191 0.751 0.751
Ho 0.220 0.220 0.220
Ho 0.249 0.249 0.809
Ho 0.249 0.809 0.249
Ho 0.751 0.191 0.751
Ho 0.751 0.751 0.191
Ho 0.780 0.780 0.780
Ho 0.809 0.249 0.249
Er 0.500 0.500 0.500
Th 0.000 0.000 0.000
Th 0.000 0.500 0.500
Th 0.500 0.000 0.500
Th 0.500 0.500 0.000

3.
First-principles (PBE) data for a relaxed HoEr2Th crystal, as listed in Alexandria.

Values from the calculation:
Calculated formation energy: 0.037 eV per atom
Mass density: 9.78 g/cm3

abc: 4.999 4.999 4.972
angles: 90.00 90.00 90.00
Element x y z (fractional)
Ho 0.000 0.000 0.000
Er 0.000 0.500 0.500
Er 0.500 0.000 0.500
Th 0.500 0.500 0.000

4.
First-principles (PBE) data for a relaxed HoEr2Th5 crystal, as listed in Alexandria.

Values from the calculation:
Calculated formation energy: 0.050 eV per atom
Mass density: 10.81 g/cm3

abc: 7.117 14.268 5.019
angles: 90.00 90.00 90.00
Element x y z (fractional)
Ho 0.000 0.000 0.000
Ho 0.500 0.500 0.000
Er 0.250 0.125 0.500
Er 0.250 0.625 0.500
Er 0.750 0.375 0.500
Er 0.750 0.875 0.500
Th 0.000 0.500 0.000
Th 0.001 0.750 0.000
Th 0.246 0.373 0.500
Th 0.254 0.873 0.500
Th 0.499 0.250 0.000
Th 0.500 0.000 0.000
Th 0.501 0.750 0.000
Th 0.746 0.127 0.500
Th 0.754 0.627 0.500
Th 0.999 0.250 0.000

5.
First-principles (PBE) data for a relaxed Ho5ErTh5 crystal, as listed in Alexandria.

Values from the calculation:
Calculated formation energy: 0.384 eV per atom
Mass density: 9.38 g/cm3

abc: 6.288 6.288 11.122
angles: 90.00 90.00 120.00
Element x y z (fractional)
Ho 0.000 0.000 0.000
Ho 0.333 0.667 0.326
Ho 0.333 0.667 0.674
Ho 0.667 0.333 0.181
Ho 0.667 0.333 0.819
Er 0.333 0.667 0.000
Th 0.000 0.000 0.269
Th 0.000 0.000 0.731
Th 0.347 0.173 0.500
Th 0.827 0.173 0.500
Th 0.827 0.653 0.500

6.
First-principles (PBE) data for a relaxed HoEr7Th2 crystal, as listed in Alexandria.

Values from the calculation:
Calculated formation energy: 0.781 eV per atom
Mass density: 7.65 g/cm3

abc: 9.370 9.370 5.440
angles: 90.00 90.00 125.11
Element x y z (fractional)
Ho 0.000 0.000 0.000
Er 0.067 0.284 0.500
Er 0.204 0.796 0.000
Er 0.284 0.067 0.500
Er 0.500 0.500 0.500
Er 0.716 0.933 0.500
Er 0.796 0.204 0.000
Er 0.933 0.716 0.500
Th 0.295 0.705 0.500
Th 0.705 0.295 0.500